Record 1
The following is a DFT calculation (PBE) of a relaxed structure of Tb2ThIr.

## Properties
- Magnetization: 0.00 μB per cell
- ΔE_f: -0.548 eV/atom
- Mass density: 10.94 Mg/m³

CIF file:
```
data_Tb2ThIr
_chemical_formula_sum 'Tb8 Th4 Ir4'
_cell_length_a 7.1627
_cell_length_b 9.7006
_cell_length_c 6.4828
_cell_angle_alpha 90.00
_cell_angle_beta 90.00
_cell_angle_gamma 90.00
_symmetry_space_group_name_H-M 'P n m a'
_symmetry_Int_Tables_number 62
_symmetry_space_group_name_Hall '-P 2ac 2n'
loop_
_atom_site_label
_atom_site_type_symbol
_atom_site_fract_x
_atom_site_fract_y
_atom_site_fract_z
Tb1 Tb 0.1770 0.0654 0.1675
Th1 Th 0.0391 0.2500 0.6539
Ir1 Ir 0.1262 0.7500 0.9489
```

=====

Record 2
The following is a DFT calculation (PBE) of a relaxed structure of TbTh2Ir.

## Properties
- Magnetization: 0.00 μB per cell
- ΔE_f: -0.507 eV/atom
- Mass density: 11.92 Mg/m³

CIF file:
```
data_TbTh2Ir
_chemical_formula_sum 'Tb4 Th8 Ir4'
_cell_length_a 7.2049
_cell_length_b 10.0863
_cell_length_c 6.2525
_cell_angle_alpha 90.00
_cell_angle_beta 90.00
_cell_angle_gamma 90.00
_symmetry_space_group_name_H-M 'P n m a'
_symmetry_Int_Tables_number 62
_symmetry_space_group_name_Hall '-P 2ac 2n'
loop_
_atom_site_label
_atom_site_type_symbol
_atom_site_fract_x
_atom_site_fract_y
_atom_site_fract_z
Tb1 Tb 0.0393 0.2500 0.1512
Th1 Th 0.1777 0.0603 0.6575
Ir1 Ir 0.1153 0.7500 0.3962
```

=====

Record 3
The following is a DFT calculation (PBE) of a relaxed structure of TbTh2Ir.

## Properties
- Magnetization: 0.00 μB per cell
- ΔE_f: -0.361 eV/atom
- Mass density: 10.88 Mg/m³

CIF file:
```
data_TbTh2Ir
_chemical_formula_sum 'Tb3 Th6 Ir3'
_cell_length_a 3.9831
_cell_length_b 3.9831
_cell_length_c 27.1729
_cell_angle_alpha 90.00
_cell_angle_beta 90.00
_cell_angle_gamma 120.00
_symmetry_space_group_name_H-M 'R 3 m'
_symmetry_Int_Tables_number 160
_symmetry_space_group_name_Hall 'R 3 -2"'
loop_
_atom_site_label
_atom_site_type_symbol
_atom_site_fract_x
_atom_site_fract_y
_atom_site_fract_z
Tb1 Tb 0.0000 0.0000 0.0000
Th1 Th 0.0000 0.0000 0.5626
Th2 Th 0.0000 0.0000 0.7717
Ir1 Ir 0.0000 0.0000 0.1667
```